{
  "formula": "RbGeSbPt2",
  "functional": "PBE",
  "state": "optimized geometry",
  "cell": [[7.427, 0.000, 0.000], [0.000, 4.433, 0.000], [-2.204, 0.000, 8.888]],
  "species": ["Rb", "Rb", "Ge", "Ge", "Sb", "Sb", "Pt", "Pt", "Pt", "Pt"],
  "fractional_positions": [[0.054, 0.250, 0.256], [0.946, 0.750, 0.744], [0.295, 0.750, 0.544], [0.705, 0.250, 0.456], [0.370, 0.750, 0.074], [0.630, 0.250, 0.926], [0.469, 0.250, 0.603], [0.476, 0.750, 0.809], [0.524, 0.250, 0.191], [0.531, 0.750, 0.397]],
  "space_group": "P2_1/m, No. 11",
  "e_form_raw_mev_per_atom": -435
}

{
  "formula": "LiLaThSi",
  "functional": "PBE",
  "state": "optimized geometry",
  "cell": [[7.336, 0.000, 0.000], [0.000, 7.336, 0.000], [0.000, 0.000, 7.336]],
  "species": ["Li", "Li", "Li", "Li", "La", "La", "La", "La", "Th", "Th", "Th", "Th", "Si", "Si", "Si", "Si"],
  "fractional_positions": [[0.000, 0.000, 0.000], [0.000, 0.500, 0.500], [0.500, 0.000, 0.500], [0.500, 0.500, 0.000], [0.250, 0.250, 0.250], [0.250, 0.750, 0.750], [0.750, 0.250, 0.750], [0.750, 0.750, 0.250], [0.250, 0.250, 0.750], [0.250, 0.750, 0.250], [0.750, 0.250, 0.250], [0.750, 0.750, 0.750], [0.000, 0.000, 0.500], [0.000, 0.500, 0.000], [0.500, 0.000, 0.000], [0.500, 0.500, 0.500]],
  "space_group": "F-43m, No. 216",
  "e_form_raw_mev_per_atom": -203
}

{
  "formula": "Tl2CuHgCl6",
  "functional": "PBE",
  "state": "optimized geometry",
  "cell": [[6.910, 0.000, 0.000], [3.276, 6.100, 0.000], [3.209, 1.914, 7.214]],
  "species": ["Tl", "Tl", "Cu", "Hg", "Cl", "Cl", "Cl", "Cl", "Cl", "Cl"],
  "fractional_positions": [[0.214, 0.214, 0.314], [0.786, 0.786, 0.686], [0.500, 0.500, 0.500], [0.000, 0.000, 0.000], [0.220, 0.675, 0.346], [0.221, 0.219, 0.884], [0.323, 0.781, 0.653], [0.677, 0.219, 0.347], [0.779, 0.781, 0.116], [0.780, 0.325, 0.654]],
  "space_group": "P-1, No. 2",
  "e_form_raw_mev_per_atom": -743
}

{
  "formula": "Sm3HfPa3N8",
  "functional": "PBE",
  "state": "optimized geometry",
  "cell": [[3.475, 2.006, 5.727], [-3.475, 2.006, 5.727], [0.000, -4.012, 5.727]],
  "species": ["Sm", "Sm", "Sm", "Hf", "Pa", "Pa", "Pa", "N", "N", "N", "N", "N", "N", "N", "N"],
  "fractional_positions": [[0.000, 0.500, 0.500], [0.500, 0.000, 0.500], [0.500, 0.500, 0.000], [0.500, 0.500, 0.500], [0.000, 0.000, 0.500], [0.000, 0.500, 0.000], [0.500, 0.000, 0.000], [0.242, 0.242, 0.242], [0.251, 0.726, 0.726], [0.274, 0.274, 0.749], [0.274, 0.749, 0.274], [0.726, 0.251, 0.726], [0.726, 0.726, 0.251], [0.749, 0.274, 0.274], [0.758, 0.758, 0.758]],
  "space_group": "R-3m, No. 166",
  "e_form_raw_mev_per_atom": -1550
}

{
  "formula": "Sm6Cd5Ga",
  "functional": "PBE",
  "state": "optimized geometry",
  "cell": [[2.663, -8.015, 0.000], [2.663, 8.015, 0.000], [0.000, 0.000, 7.626]],
  "species": ["Sm", "Sm", "Sm", "Sm", "Sm", "Sm", "Cd", "Cd", "Cd", "Cd", "Cd", "Ga"],
  "fractional_positions": [[0.000, 0.000, 0.238], [0.000, 0.000, 0.762], [0.339, 0.661, 0.244], [0.339, 0.661, 0.756], [0.661, 0.339, 0.244], [0.661, 0.339, 0.756], [0.169, 0.831, 0.500], [0.173, 0.827, 0.000], [0.500, 0.500, 0.500], [0.827, 0.173, 0.000], [0.831, 0.169, 0.500], [0.500, 0.500, 0.000]],
  "formation_enthalpy_0k_kj_per_mol_atoms": -34.4,
  "space_group": "Cmmm, No. 65"
}

{
  "formula": "PmZn5PdPt2",
  "functional": "PBE",
  "state": "optimized geometry",
  "cell": [[4.846, 0.000, 0.000], [0.000, 4.846, 0.000], [0.000, 0.000, 7.404]],
  "species": ["Pm", "Zn", "Zn", "Zn", "Zn", "Zn", "Pd", "Pt", "Pt"],
  "fractional_positions": [[0.000, 0.000, 0.000], [0.000, 0.500, 0.312], [0.000, 0.500, 0.688], [0.500, 0.000, 0.312], [0.500, 0.000, 0.688], [0.500, 0.500, 0.000], [0.000, 0.000, 0.500], [0.500, 0.500, 0.320], [0.500, 0.500, 0.680]],
  "formation_enthalpy_0k_kj_per_mol_atoms": -26.6,
  "space_group": "P4/mmm, No. 123"
}

{
  "formula": "NaHfHgMo2",
  "functional": "PBE",
  "state": "optimized geometry",
  "cell": [[5.098, 0.000, 0.000], [0.000, 5.098, 0.000], [0.000, 0.000, 4.686]],
  "species": ["Na", "Hf", "Hg", "Mo", "Mo"],
  "fractional_positions": [[0.000, 0.000, 0.000], [0.500, 0.500, 0.000], [0.000, 0.000, 0.500], [0.000, 0.500, 0.500], [0.500, 0.000, 0.500]],
  "formation_enthalpy_0k_kj_per_mol_atoms": 178.6,
  "space_group": "P4/mmm, No. 123"
}

{
  "formula": "TlH4Ir",
  "functional": "PBE",
  "state": "optimized geometry",
  "cell": [[2.618, -4.542, 0.000], [2.618, 4.542, 0.000], [-1.198, 0.000, 5.531]],
  "species": ["Tl", "Tl", "H", "H", "H", "H", "H", "H", "H", "H", "Ir", "Ir"],
  "fractional_positions": [[0.150, 0.850, 0.750], [0.850, 0.150, 0.250], [0.104, 0.252, 0.678], [0.252, 0.104, 0.178], [0.348, 0.560, 0.035], [0.440, 0.652, 0.465], [0.560, 0.348, 0.535], [0.652, 0.440, 0.965], [0.748, 0.896, 0.822], [0.896, 0.748, 0.322], [0.459, 0.541, 0.750], [0.541, 0.459, 0.250]],
  "space_group": "C2/c, No. 15",
  "e_tot_ev_per_atom": -4.04
}